# 1
A plane-wave DFT calculation with PBE was carried out for Pr3Er4Tm4 after structural relaxation.

Properties
The value obtained for the theoretical density is 8.163 g/cm3. As for the total magnetization: 0.00 Bohr magnetons per cell. As for the energy relative to the lowest polymorph listed for this composition: 145 kJ/mol of formula units.

Cell lengths 10.555, 6.635, 6.635 Å; angles 50.69, 90.00, 90.00 degrees
Atoms (fractional coordinates):
Pr (0.000, 0.000, 0.000)
Pr (0.292, 0.153, 0.153)
Pr (0.708, 0.153, 0.153)
Er (0.000, 0.701, 0.701)
Er (0.216, 0.496, 0.496)
Er (0.500, 0.635, 0.635)
Er (0.784, 0.496, 0.496)
Tm (0.000, 0.303, 0.303)
Tm (0.295, 0.848, 0.848)
Tm (0.500, 0.362, 0.362)
Tm (0.705, 0.848, 0.848)



# 2
A plane-wave DFT calculation with PBE was carried out for Pr4Er6Tm after structural relaxation.

Properties
The value obtained for the theoretical density is 7.657 g/cm3. As for the total magnetization: 0.00 Bohr magnetons per cell. As for the energy relative to the lowest polymorph listed for this composition: 128 kJ/mol of formula units.

Cell lengths 9.704, 9.704, 9.704 Å; angles 139.85, 139.85, 58.08 degrees
Atoms (fractional coordinates):
Pr (0.134, 0.134, 0.620)
Pr (0.486, 0.866, 0.000)
Pr (0.514, 0.514, 0.380)
Pr (0.866, 0.486, 0.000)
Er (0.000, 0.500, 0.500)
Er (0.055, 0.700, 0.000)
Er (0.300, 0.300, 0.355)
Er (0.500, 0.000, 0.500)
Er (0.700, 0.055, 0.000)
Er (0.945, 0.945, 0.645)
Tm (0.500, 0.500, 0.000)



# 3
A plane-wave DFT calculation with PBE was carried out for Pr5ErTm2 after structural relaxation.

Properties
The value obtained for the theoretical density is 7.201 g/cm3. As for the total magnetization: 0.00 Bohr magnetons per cell. As for the energy relative to the lowest polymorph listed for this composition: 88 kJ/mol of formula units.

Cell lengths 10.301, 10.301, 6.037 Å; angles 106.89, 106.89, 101.42 degrees
Atoms (fractional coordinates):
Pr (0.044, 0.335, 0.939)
Pr (0.202, 0.798, 0.750)
Pr (0.286, 0.395, 0.589)
Pr (0.335, 0.044, 0.439)
Pr (0.395, 0.286, 0.089)
Pr (0.605, 0.714, 0.911)
Pr (0.665, 0.956, 0.561)
Pr (0.714, 0.605, 0.411)
Pr (0.798, 0.202, 0.250)
Pr (0.956, 0.665, 0.061)
Er (0.343, 0.657, 0.250)
Er (0.657, 0.343, 0.750)
Tm (0.000, 0.000, 0.000)
Tm (0.000, 0.000, 0.500)
Tm (0.000, 0.500, 0.500)
Tm (0.500, 0.000, 0.000)



# 4
A plane-wave DFT calculation with PBE was carried out for Pr12ErTm3 after structural relaxation.

Properties
The value obtained for the theoretical density is 7.110 g/cm3. As for the total magnetization: 0.00 Bohr magnetons per cell.

Cell lengths 5.173, 5.173, 20.641 Å; angles 90.00, 90.00, 90.00 degrees
Atoms (fractional coordinates):
Pr (0.000, 0.000, 0.000)
Pr (0.000, 0.000, 0.250)
Pr (0.000, 0.000, 0.500)
Pr (0.000, 0.000, 0.750)
Pr (0.000, 0.500, 0.125)
Pr (0.000, 0.500, 0.375)
Pr (0.000, 0.500, 0.625)
Pr (0.000, 0.500, 0.875)
Pr (0.500, 0.000, 0.125)
Pr (0.500, 0.000, 0.375)
Pr (0.500, 0.000, 0.625)
Pr (0.500, 0.000, 0.875)
Er (0.500, 0.500, 0.000)
Tm (0.500, 0.500, 0.250)
Tm (0.500, 0.500, 0.500)
Tm (0.500, 0.500, 0.750)



# 5
A plane-wave DFT calculation with PBE was carried out for PrEr6Tm3 after structural relaxation.

Properties
The value obtained for the theoretical density is 8.631 g/cm3. As for the total magnetization: 0.00 Bohr magnetons per cell. As for the energy relative to the lowest polymorph listed for this composition: 127 kJ/mol of formula units.

Cell lengths 6.824, 6.824, 6.824 Å; angles 90.67, 90.67, 90.67 degrees
Atoms (fractional coordinates):
Pr (0.000, 0.000, 0.000)
Er (0.164, 0.829, 0.493)
Er (0.334, 0.660, 0.993)
Er (0.493, 0.164, 0.829)
Er (0.660, 0.993, 0.334)
Er (0.829, 0.493, 0.164)
Er (0.993, 0.334, 0.660)
Tm (0.258, 0.258, 0.258)
Tm (0.502, 0.502, 0.502)
Tm (0.751, 0.751, 0.751)



# 6
A plane-wave DFT calculation with PBE was carried out for PrEr3Tm4 after structural relaxation.

Properties
The value obtained for the theoretical density is 8.746 g/cm3. As for the total magnetization: 0.00 Bohr magnetons per cell. As for the energy relative to the lowest polymorph listed for this composition: 0 kJ/mol of formula units.

Cell lengths 11.168, 7.209, 6.218 Å; angles 90.00, 90.00, 90.00 degrees
Atoms (fractional coordinates):
Pr (0.000, 0.127, 0.000)
Pr (0.500, 0.873, 0.500)
Er (0.000, 0.873, 0.499)
Er (0.250, 0.127, 0.335)
Er (0.250, 0.873, 0.835)
Er (0.500, 0.127, 0.999)
Er (0.750, 0.127, 0.335)
Er (0.750, 0.873, 0.835)
Tm (0.000, 0.377, 0.502)
Tm (0.000, 0.623, 0.001)
Tm (0.248, 0.623, 0.334)
Tm (0.252, 0.377, 0.834)
Tm (0.500, 0.377, 0.501)
Tm (0.500, 0.623, 0.002)
Tm (0.748, 0.377, 0.834)
Tm (0.752, 0.623, 0.334)



no.,energy of formation (eV per atom)
1,0.162
2,0.292
3,0.233
4,0.012
5,0.282
6,0.005